DFT (PBE+U) results for a relaxed CeWO5 crystal.

Lattice parameters (Å, degrees): 5.562 5.562 7.692 110.29 110.29 72.19
Atoms (fractional coordinates):
Ce1 0.042 0.958 0.750
Ce2 0.958 0.042 0.250
W1 0.500 0.500 0.000
W2 0.500 0.500 0.500
O1 0.198 0.784 0.031
O2 0.216 0.802 0.469
O3 0.249 0.280 0.380
O4 0.280 0.249 0.880
O5 0.434 0.566 0.750
O6 0.566 0.434 0.250
O7 0.720 0.751 0.120
O8 0.751 0.720 0.620
O9 0.784 0.198 0.531
O10 0.802 0.216 0.969

E_tot	-112.079	eV for the cell shown
magnetization	0.0	μB per cell

DFT (PBE+U) results for a relaxed CeW2O8 crystal.

Lattice parameters (Å, degrees): 7.346 7.346 7.939 116.25 116.25 68.91
Atoms (fractional coordinates):
Ce1 0.037 0.963 0.750
Ce2 0.963 0.037 0.250
W1 0.060 0.508 0.230
W2 0.492 0.940 0.270
W3 0.508 0.060 0.730
W4 0.940 0.492 0.770
O1 0.013 0.677 0.060
O2 0.018 0.780 0.414
O3 0.053 0.640 0.718
O4 0.220 0.982 0.086
O5 0.323 0.987 0.440
O6 0.325 0.413 0.322
O7 0.360 0.947 0.782
O8 0.413 0.325 0.822
O9 0.587 0.675 0.178
O10 0.640 0.053 0.218
O11 0.675 0.587 0.678
O12 0.677 0.013 0.560
O13 0.780 0.018 0.914
O14 0.947 0.360 0.282
O15 0.982 0.220 0.586
O16 0.987 0.323 0.940

E_tot	-170.724	eV for the cell shown
DOS(E_F)	0.0000	states/eV per atom
magnetization	0.0	μB per cell

DFT (PBE+U) results for a relaxed Ce2WO6 crystal.

Lattice parameters (Å, degrees): 9.957 9.957 5.529 102.63 102.63 68.93
Atoms (fractional coordinates):
Ce1 0.118 0.882 0.750
Ce2 0.212 0.440 0.609
Ce3 0.379 0.621 0.250
Ce4 0.440 0.212 0.109
Ce5 0.560 0.788 0.891
Ce6 0.621 0.379 0.750
Ce7 0.788 0.560 0.391
Ce8 0.882 0.118 0.250
W1 0.002 0.320 0.920
W2 0.320 0.002 0.420
W3 0.680 0.998 0.580
W4 0.998 0.680 0.080
O1 0.032 0.462 0.224
O2 0.038 0.124 0.978
O3 0.124 0.038 0.478
O4 0.127 0.687 0.396
O5 0.186 0.645 0.918
O6 0.199 0.286 0.854
O7 0.286 0.199 0.354
O8 0.313 0.873 0.104
O9 0.355 0.814 0.582
O10 0.396 0.428 0.422
O11 0.428 0.396 0.922
O12 0.462 0.032 0.724
O13 0.538 0.968 0.276
O14 0.572 0.604 0.078
O15 0.604 0.572 0.578
O16 0.645 0.186 0.418
O17 0.687 0.127 0.896
O18 0.714 0.801 0.646
O19 0.801 0.714 0.146
O20 0.814 0.355 0.082
O21 0.873 0.313 0.604
O22 0.876 0.962 0.522
O23 0.962 0.876 0.022
O24 0.968 0.538 0.776

E_tot	-300.791	eV for the cell shown
DOS(E_F)	1.0775	states/eV per atom
polymorph energy (0 for the lowest one)	0.00	kJ per mole of atoms
magnetization	8.2	μB per cell

DFT (PBE+U) results for a relaxed CeW2O8 crystal.

Lattice parameters (Å, degrees): 5.668 5.668 3.875 95.44 95.44 112.13
Atoms (fractional coordinates):
Ce1 0.000 0.000 0.000
W1 0.324 0.676 0.500
W2 0.676 0.324 0.500
O1 0.048 0.322 0.551
O2 0.258 0.742 0.000
O3 0.322 0.048 0.551
O4 0.397 0.397 0.217
O5 0.603 0.603 0.783
O6 0.678 0.952 0.449
O7 0.742 0.258 0.000
O8 0.952 0.678 0.449

E_tot	-83.281	eV for the cell shown
magnetization	0.0	μB per cell

DFT (PBE+U) results for a relaxed CeW2O8 crystal.

Lattice parameters (Å, degrees): 9.671 9.671 9.671 90.00 90.00 90.00
Atoms (fractional coordinates):
Ce1 0.248 0.252 0.748
Ce2 0.252 0.748 0.248
Ce3 0.748 0.248 0.252
Ce4 0.752 0.752 0.752
W1 0.098 0.098 0.098
W2 0.156 0.656 0.844
W3 0.344 0.344 0.344
W4 0.402 0.902 0.598
W5 0.598 0.402 0.902
W6 0.656 0.844 0.156
W7 0.844 0.156 0.656
W8 0.902 0.598 0.402
O1 0.006 0.494 0.506
O2 0.026 0.195 0.688
O3 0.037 0.698 0.308
O4 0.188 0.474 0.805
O5 0.192 0.963 0.198
O6 0.195 0.688 0.026
O7 0.198 0.192 0.963
O8 0.238 0.238 0.238
O9 0.262 0.762 0.738
O10 0.302 0.808 0.463
O11 0.305 0.312 0.526
O12 0.308 0.037 0.698
O13 0.312 0.526 0.305
O14 0.463 0.302 0.808
O15 0.474 0.805 0.188
O16 0.494 0.506 0.006
O17 0.506 0.006 0.494
O18 0.526 0.305 0.312
O19 0.537 0.802 0.692
O20 0.688 0.026 0.195
O21 0.692 0.537 0.802
O22 0.695 0.812 0.974
O23 0.698 0.308 0.037
O24 0.738 0.262 0.762
O25 0.762 0.738 0.262
O26 0.802 0.692 0.537
O27 0.805 0.188 0.474
O28 0.808 0.463 0.302
O29 0.812 0.974 0.695
O30 0.963 0.198 0.192
O31 0.974 0.695 0.812
O32 0.994 0.994 0.994

E_tot	-341.069	eV for the cell shown
magnetization	0.0	μB per cell

DFT (PBE+U) results for a relaxed Ce2WO6 crystal.

Lattice parameters (Å, degrees): 5.047 5.047 10.446 90.00 90.00 90.00
Atoms (fractional coordinates):
Ce1 0.000 0.000 0.168
Ce2 0.000 0.000 0.832
Ce3 0.500 0.500 0.332
Ce4 0.500 0.500 0.668
W1 0.000 0.000 0.500
W2 0.500 0.500 0.000
O1 0.188 0.188 0.345
O2 0.188 0.188 0.655
O3 0.210 0.210 0.000
O4 0.290 0.710 0.500
O5 0.312 0.688 0.155
O6 0.312 0.688 0.845
O7 0.688 0.312 0.155
O8 0.688 0.312 0.845
O9 0.710 0.290 0.500
O10 0.790 0.790 0.000
O11 0.812 0.812 0.345
O12 0.812 0.812 0.655

E_tot	-149.047	eV for the cell shown
polymorph energy (0 for the lowest one)	7.23	kJ per mole of atoms
magnetization	4.0	μB per cell